# TbNd2Tm4

An optimized crystal structure of TbNd2Tm4 (PBE, the Alexandria database).

a = 8.866 Å, b = 8.863 Å, c = 8.863 Å
α = 135.59°, β = 99.31°, γ = 97.08°
Element x y z (fractional)
Tb 0.099 0.491 0.392
Tb 0.152 0.044 0.893
Nd 0.597 0.489 0.892
Nd 0.653 0.045 0.392
Nd 0.625 0.383 0.258
Nd 0.125 0.383 0.758
Tm 0.875 0.053 0.177
Tm 0.373 0.606 0.233
Tm 0.877 0.610 0.733
Tm 0.778 0.050 0.775
Tm 0.275 0.051 0.273
Tm 0.374 0.051 0.677
Tm 0.472 0.746 0.772
Tm 0.975 0.748 0.276

Results
* M_tot: 0.0 μB per cell
* energy: -61.47 eV per cell
* DOS(E_F): 16.25 states/eV/cell
* ΔE_f: 1.32 eV/f.u.
* symmetry: No. 1
* ΔE to the lowest computed polymorph: 176 meV/atom